[1]
VASP calculation (PBE-GGA) on a relaxed structure of Pm6H2Pt3.

M_tot	0.00	μB/f.u.
crystal system	tetragonal
calculated total energy	-5.582	eV/atom
calculated volume	23.42	Å³ per atom

Unit cell a=4.830 b=4.830 c=22.085 alpha=90.00 beta=90.00 gamma=90.00
Space group I4/mmm (No. 139)
One atom of each set of equivalent atoms:
Pm: 0.000 0.000 0.209
Pm: 0.000 0.500 0.083
H: 0.000 0.000 0.098
Pt: 0.000 0.000 0.334
Pt: 0.000 0.000 0.500


[2]
VASP calculation (PBE-GGA) on a relaxed structure of Pm5H2Pt2.

M_tot	0.00	μB/f.u.
crystal system	orthorhombic
calculated total energy	-5.384	eV/atom
calculated volume	23.48	Å³ per atom

Unit cell a=18.118 b=7.002 c=6.662 alpha=90.00 beta=90.00 gamma=90.00
Space group Ima2 (No. 46)
One atom of each set of equivalent atoms:
Pm: 0.020 0.247 0.000
Pm: 0.152 0.587 0.765
Pm: 0.250 0.084 0.779
H: 0.000 0.000 0.251
H: 0.250 0.100 0.138
Pt: 0.096 0.536 0.238


[3]
VASP calculation (PBE-GGA) on a relaxed structure of Pm6HPt3.

M_tot	0.00	μB/f.u.
crystal system	monoclinic
calculated total energy	-5.768	eV/atom
calculated volume	26.06	Å³ per atom

Unit cell a=6.781 b=7.386 c=12.019 alpha=90.00 beta=120.02 gamma=90.00
Space group P2_1/c (No. 14)
One atom of each set of equivalent atoms:
Pm: 0.090 0.186 0.429
Pm: 0.247 0.668 0.425
Pm: 0.405 0.043 0.242
H: 0.000 0.000 0.000
Pt: 0.170 0.117 0.728
Pt: 0.500 0.000 0.500


[4]
VASP calculation (PBE-GGA) on a relaxed structure of PmH4Pt.

M_tot	0.00	μB/f.u.
crystal system	monoclinic
energy above the most stable polymorph in this dataset	0	meV/atom
calculated total energy	-4.543	eV/atom
calculated volume	10.59	Å³ per atom

Unit cell a=7.798 b=4.600 c=4.196 alpha=90.00 beta=122.43 gamma=90.00
Space group C2/m (No. 12)
One atom of each set of equivalent atoms:
Pm: 0.000 0.000 0.000
H: 0.173 0.233 0.673
Pt: 0.000 0.500 0.500